Entry 1:
Material: Li4Ag2BiSb
Method: DFT, PBE
State: optimized geometry

Properties
SG = Amm2
calculated total energy = -3.059 eV/atom

Cell lengths 5.524, 5.494, 5.494 Å; angles 94.80, 90.00, 90.00 degrees
Positions (direct):
Ag 0.250 0.994 0.994
Li 0.000 0.491 0.849
Ag 0.750 0.994 0.994
Li 0.500 0.153 0.518
Li 0.500 0.518 0.153
Sb 0.500 0.675 0.675
Bi 0.000 0.326 0.326
Li 0.000 0.849 0.491


Entry 2:
Material: Li4SiAg2Bi
Method: DFT, PBE
State: optimized geometry

Properties
SG = P-4m2
calculated total energy = -3.158 eV/atom

Cell lengths 4.502, 4.502, 6.589 Å; angles 90.00, 90.00, 90.00 degrees
Positions (direct):
Li 0.000 0.000 0.500
Si 0.500 0.500 0.500
Li 0.500 0.500 0.000
Ag 0.500 0.000 0.708
Ag 0.000 0.500 0.292
Bi 0.000 0.000 0.000
Li 0.000 0.500 0.725
Li 0.500 0.000 0.275


Entry 3:
Material: Li4ZnAg2Bi
Method: DFT, PBE
State: optimized geometry

Properties
SG = P-4m2
calculated total energy = -2.621 eV/atom

Cell lengths 4.527, 4.527, 6.699 Å; angles 90.00, 90.00, 90.00 degrees
Positions (direct):
Ag 0.500 0.000 0.718
Li 0.500 0.500 0.000
Ag 0.000 0.500 0.282
Li 0.500 0.000 0.274
Bi 0.000 0.000 0.000
Zn 0.500 0.500 0.500
Li 0.000 0.500 0.726
Li 0.000 0.000 0.500


Entry 4:
Material: LuAg2Bi
Method: DFT, PBE
State: optimized geometry

Properties
SG = F-43m
magnetization = 0.0 μB per cell
calculated total energy = -3.756 eV/atom

Cell lengths 5.043, 5.043, 5.043 Å; angles 60.00, 60.00, 60.00 degrees
Positions (direct):
Bi 0.500 0.500 0.500
Lu 0.250 0.250 0.250
Ag 0.000 0.000 0.000
Ag 0.750 0.750 0.750


Entry 5:
Material: Lu2AgBi
Method: DFT, PBE
State: optimized geometry

Properties
SG = F-43m
magnetization = 0.0 μB per cell
calculated total energy = -3.938 eV/atom

Cell lengths 5.292, 5.292, 5.292 Å; angles 60.00, 60.00, 60.00 degrees
Positions (direct):
Lu 0.750 0.750 0.750
Bi 0.500 0.500 0.500
Lu 0.000 0.000 0.000
Ag 0.250 0.250 0.250


Entry 6:
Material: Mg2AgBi
Method: DFT, PBE
State: optimized geometry

Properties
SG = F-43m
calculated total energy = -2.508 eV/atom

Cell lengths 5.078, 5.078, 5.078 Å; angles 60.00, 60.00, 60.00 degrees
Positions (direct):
Bi 0.500 0.500 0.500
Mg 0.000 0.000 0.000
Ag 0.250 0.250 0.250
Mg 0.750 0.750 0.750


Entry 7:
Material: MgAgBi2
Method: DFT, PBE
State: optimized geometry

Properties
SG = F-43m
calculated total energy = -2.998 eV/atom

Cell lengths 5.288, 5.288, 5.288 Å; angles 60.00, 60.00, 60.00 degrees
Positions (direct):
Ag 0.750 0.750 0.750
Mg 0.000 0.000 0.000
Bi 0.250 0.250 0.250
Bi 0.500 0.500 0.500


Entry 8:
Material: MgNiAgBi
Method: DFT, PBE
State: optimized geometry

Properties
SG = F-43m
magnetization = 0.0 μB per cell
calculated total energy = -3.440 eV/atom

Cell lengths 4.773, 4.773, 4.773 Å; angles 60.00, 60.00, 60.00 degrees
Positions (direct):
Bi 0.250 0.250 0.250
Ag 0.000 0.000 0.000
Ni 0.500 0.500 0.500
Mg 0.750 0.750 0.750


Entry 9:
Material: MgAgBiPd
Method: DFT, PBE
State: optimized geometry

Properties
SG = F-43m
calculated total energy = -3.624 eV/atom

Cell lengths 4.841, 4.841, 4.841 Å; angles 60.00, 60.00, 60.00 degrees
Positions (direct):
Ag 0.000 0.000 0.000
Mg 0.750 0.750 0.750
Pd 0.500 0.500 0.500
Bi 0.250 0.250 0.250


Entry 10:
Material: Mg2Ag2BiSb
Method: DFT, PBE
State: optimized geometry

Properties
SG = Pm
calculated total energy = -3.001 eV/atom

Cell lengths 11.492, 4.688, 11.499 Å; angles 90.00, 109.27, 90.00 degrees
Positions (direct):
Bi 0.001 0.000 0.753
Ag 0.632 0.500 0.881
Mg 0.746 0.000 0.496
Mg 0.879 0.500 0.880
Mg 0.374 0.500 0.374
Sb 0.752 0.000 0.000
Ag 0.251 0.000 0.744
Sb 0.248 0.000 0.497
Bi 0.376 0.500 0.876
Sb 0.126 0.500 0.126
Bi 0.623 0.500 0.625
Ag 0.002 0.000 0.008
Bi 0.875 0.500 0.373
Mg 0.622 0.500 0.125
Ag 0.493 0.000 0.494
Ag 0.744 0.000 0.243
Sb 0.498 0.000 0.249
Mg 0.503 0.000 0.751
Mg 0.250 0.000 0.002
Ag 0.129 0.500 0.374
Mg 0.126 0.500 0.622
Ag 0.875 0.500 0.625
Ag 0.374 0.500 0.130
Mg 0.001 0.000 0.252


Entry 11:
Material: AgBi2Mo
Method: DFT, PBE
State: optimized geometry

Properties
SG = F-43m
magnetization = 2.8 μB per cell
calculated total energy = -4.579 eV/atom

Cell lengths 5.066, 5.066, 5.066 Å; angles 60.00, 60.00, 60.00 degrees
Site moments in Bohr magnetons follow the coordinates.
Positions (direct):
Ag 0.750 0.750 0.750  0.06
Mo 0.000 0.000 0.000  2.34
Bi 0.250 0.250 0.250  -0.07
Bi 0.500 0.500 0.500  -0.02


Entry 12:
Material: AgBiMo
Method: DFT, PBE
State: optimized geometry

Properties
SG = F-43m
magnetization = 3.7 μB per cell
calculated total energy = -4.912 eV/atom

Cell lengths 4.705, 4.705, 4.705 Å; angles 60.00, 60.00, 60.00 degrees
Positions (direct):
Bi 0.250 0.250 0.250
Mo 0.750 0.750 0.750
Ag 0.000 0.000 0.000


Entry 13:
Material: AgBiNO
Method: DFT, PBE
State: optimized geometry

Properties
SG = Pca2_1
calculated total energy = -4.732 eV/atom

Cell lengths 6.073, 7.533, 5.835 Å; angles 90.00, 90.00, 90.00 degrees
Positions (direct):
N 0.940 0.906 0.605
O 0.334 0.628 0.477
Ag 0.963 0.363 0.926
N 0.440 0.906 0.895
O 0.834 0.372 0.523
N 0.940 0.094 0.105
O 0.834 0.628 0.023
Bi 0.560 0.156 0.050
Bi 0.060 0.844 0.950
Bi 0.560 0.844 0.550
Ag 0.463 0.363 0.574
N 0.440 0.094 0.395
Ag 0.463 0.637 0.074
O 0.334 0.372 0.977
Bi 0.060 0.156 0.450
Ag 0.963 0.637 0.426


Entry 14:
Material: AgBiNO
Method: DFT, PBE
State: optimized geometry

Properties
SG = Pmc2_1
calculated total energy = -4.801 eV/atom

Cell lengths 4.077, 5.667, 5.957 Å; angles 90.00, 90.00, 90.00 degrees
Positions (direct):
Ag 0.500 0.477 0.774
O 0.500 0.914 0.822
O 0.500 0.414 0.178
Bi 0.000 0.488 0.303
Ag 0.500 0.977 0.226
Bi 0.000 0.988 0.697
N 0.000 0.374 0.657
N 0.000 0.874 0.343


Entry 15:
Material: AgBiNO
Method: DFT, PBE
State: optimized geometry

Properties
SG = P4/nmm
calculated total energy = -4.684 eV/atom

Cell lengths 3.867, 3.867, 8.070 Å; angles 90.00, 90.00, 90.00 degrees
Positions (direct):
Ag 0.750 0.250 0.500
Bi 0.250 0.250 0.160
Ag 0.250 0.750 0.500
N 0.250 0.250 0.666
N 0.750 0.750 0.334
Bi 0.750 0.750 0.840
O 0.250 0.750 0.000
O 0.750 0.250 0.000


Entry 16:
Material: AgBiNO
Method: DFT, PBE
State: optimized geometry

Properties
SG = Pmc2_1
calculated total energy = -4.788 eV/atom

Cell lengths 3.627, 6.241, 6.291 Å; angles 90.00, 90.00, 90.00 degrees
Positions (direct):
O 0.500 0.868 0.875
O 0.500 0.368 0.125
N 0.000 0.865 0.327
N 0.000 0.365 0.673
Ag 0.000 0.011 0.653
Bi 0.500 0.010 0.186
Ag 0.000 0.511 0.347
Bi 0.500 0.510 0.814


Entry 17:
Material: AgBiNO
Method: DFT, PBE
State: optimized geometry

Properties
SG = Pca2_1
calculated total energy = -4.755 eV/atom

Cell lengths 6.604, 6.915, 6.032 Å; angles 90.00, 90.00, 90.00 degrees
Positions (direct):
O 0.983 0.592 0.662
Bi 0.122 0.658 0.984
O 0.483 0.408 0.662
Ag 0.641 0.889 0.950
N 0.568 0.893 0.606
Ag 0.141 0.111 0.950
Bi 0.878 0.342 0.484
O 0.517 0.592 0.162
N 0.432 0.107 0.106
Ag 0.359 0.111 0.450
Ag 0.859 0.889 0.450
Bi 0.622 0.342 0.984
O 0.017 0.408 0.162
Bi 0.378 0.658 0.484
N 0.932 0.893 0.106
N 0.068 0.107 0.606


Entry 18:
Material: AgBiNO
Method: DFT, PBE
State: optimized geometry

Properties
SG = P4/nmm
calculated total energy = -4.790 eV/atom

Cell lengths 4.963, 4.963, 4.678 Å; angles 90.00, 90.00, 90.01 degrees
Positions (direct):
Ag 0.750 0.750 0.996
Ag 0.250 0.250 0.004
O 0.250 0.750 0.000
Bi 0.750 0.250 0.500
Bi 0.250 0.750 0.500
N 0.750 0.750 0.495
N 0.250 0.250 0.505
O 0.750 0.250 0.000


Entry 19:
Material: Na4Ag2BiP
Method: DFT, PBE
State: optimized geometry

Properties
SG = Amm2
calculated total energy = -2.849 eV/atom

Cell lengths 5.729, 5.938, 5.938 Å; angles 100.05, 90.00, 90.00 degrees
Positions (direct):
Ag 0.748 0.977 0.977
Na 0.500 0.546 0.176
Bi 0.000 0.292 0.292
Na 0.000 0.831 0.487
P 0.500 0.713 0.713
Na 0.000 0.487 0.831
Na 0.500 0.176 0.546
Ag 0.252 0.977 0.977


Entry 20:
Material: Na4AgBi2Pd
Method: DFT, PBE
State: optimized geometry

Properties
SG = P-4m2
calculated total energy = -2.934 eV/atom

Cell lengths 5.012, 5.012, 7.106 Å; angles 90.00, 90.00, 90.00 degrees
Positions (direct):
Na 0.500 0.000 0.742
Bi 0.500 0.000 0.259
Bi 0.000 0.500 0.741
Ag 0.500 0.500 0.000
Na 0.000 0.000 0.000
Na 0.000 0.500 0.258
Na 0.500 0.500 0.500
Pd 0.000 0.000 0.500